(1)
CrNi4Au: optimized geometry, GGA-PBE.

Results
Space-group type: F-43m, No. 216
E_form (kcal/mol of atoms): 2.23

abc: 4.7447 4.7447 4.7447
angles: 60.00 60.00 60.00
Last column: nearest neighbours and their distance in Å.
Fractional positions:
Cr1 0.0000 0.0000 0.0000  12 Ni 2.78, 4 Au 2.91
Ni1 0.1241 0.6253 0.6253  6 Ni 2.37-2.38
Ni2 0.6253 0.1241 0.6253  6 Ni 2.37-2.38
Ni3 0.6253 0.6253 0.1241  6 Ni 2.37-2.38
Ni4 0.6253 0.6253 0.6253  6 Ni 2.37-2.38
Au1 0.2500 0.2500 0.2500  12 Ni 2.78, 4 Cr 2.91


(2)
Pm3ErRu8: optimized geometry, GGA-PBE.

Results
Space-group type: R3m, No. 160
E_form (kcal/mol of atoms): -4.83

abc: 9.3642 9.3642 9.3642
angles: 33.35 33.35 33.35
Last column: nearest neighbours and their distance in Å.
Fractional positions:
Pm1 0.0000 0.0000 0.0000  12 Ru 3.13-3.20, 4 Pm 3.29-3.31
Pm2 0.1250 0.1250 0.1250  12 Ru 3.13-3.17, 3 Er 3.30, 1 Pm 3.31
Pm3 0.6250 0.6250 0.6250  12 Ru 3.16-3.20, 3 Pm 3.29, 1 Er 3.30
Er1 0.5005 0.5005 0.5005  12 Ru 3.14, 4 Pm 3.30
Ru1 0.0609 0.5662 0.5662  6 Ru 2.66-2.74
Ru2 0.0663 0.0663 0.5536  6 Ru 2.62-2.77
Ru3 0.0663 0.5536 0.0663  6 Ru 2.62-2.77
Ru4 0.3164 0.3164 0.3164  6 Ru 2.67-2.77
Ru5 0.5536 0.0663 0.0663  6 Ru 2.62-2.77
Ru6 0.5662 0.0609 0.5662  6 Ru 2.66-2.74
Ru7 0.5662 0.5662 0.0609  6 Ru 2.66-2.74
Ru8 0.8167 0.8167 0.8167  6 Ru 2.62-2.74


(3)
LiSc2InO: optimized geometry, GGA-PBE.

Results
Formation energy without anion corrections (eV/atom): -1.438
Space-group type: P4/mmm, No. 123

abc: 4.4226 4.4226 4.2438
angles: 90.00 90.00 90.00
Last column: nearest neighbours and their distance in Å.
Fractional positions:
Li1 0.0000 0.0000 0.0000  2 O 2.12
Sc1 0.0000 0.5000 0.5000  2 O 2.21
Sc2 0.5000 0.0000 0.5000  2 O 2.21
In1 0.5000 0.5000 0.0000  8 Sc 3.06, 4 Li 3.13
O1 0.0000 0.0000 0.5000  2 Li 2.12, 4 Sc 2.21


(4)
CaAcMg2Hg4: optimized geometry, GGA-PBE.

Results
Space-group type: R-3m, No. 166
E_form (kcal/mol of atoms): -9.80

abc: 9.5348 9.5348 9.5348
angles: 31.33 31.33 31.33
Last column: nearest neighbours and their distance in Å.
Fractional positions:
Ca1 0.0000 0.0000 0.0000  8 Hg 3.10-3.17
Ac1 0.5000 0.5000 0.5000  8 Hg 3.30-3.42
Mg1 0.2553 0.2553 0.2553  7 Hg 3.13-3.23
Mg2 0.7447 0.7447 0.7447  7 Hg 3.13-3.23
Hg1 0.1140 0.1140 0.1140  1 Ca 3.10, 3 Mg 3.13, 3 Ac 3.30
Hg2 0.3741 0.3741 0.3741  4 Mg 3.14-3.23, 3 Ca 3.17, 1 Ac 3.42
Hg3 0.6259 0.6259 0.6259  4 Mg 3.14-3.23, 3 Ca 3.17, 1 Ac 3.42
Hg4 0.8860 0.8860 0.8860  1 Ca 3.10, 3 Mg 3.13, 3 Ac 3.30


(5)
Np3GaNi8: optimized geometry, GGA-PBE.

Results
Space-group type: R3m, No. 160
E_form (kcal/mol of atoms): -4.27

abc: 8.5394 8.5394 8.5394
angles: 33.65 33.65 33.65
Last column: nearest neighbours and their distance in Å.
Fractional positions:
Np1 0.0000 0.0000 0.0000  12 Ni 2.90-2.93, 4 Np 3.02
Np2 0.1251 0.1251 0.1251  12 Ni 2.85-2.90, 1 Np 3.02, 3 Ga 3.02
Np3 0.6256 0.6256 0.6256  12 Ni 2.90-2.93, 3 Np 3.02, 1 Ga 3.04
Ga1 0.4998 0.4998 0.4998  12 Ni 2.84-2.89, 4 Np 3.02-3.04
Ni1 0.0611 0.0611 0.5594  6 Ni 2.42-2.50
Ni2 0.0611 0.5594 0.0611  6 Ni 2.42-2.50
Ni3 0.0672 0.5633 0.5633  6 Ni 2.44-2.50
Ni4 0.3125 0.3125 0.3125  6 Ni 2.50
Ni5 0.5594 0.0611 0.0611  6 Ni 2.42-2.50
Ni6 0.5633 0.0672 0.5633  6 Ni 2.44-2.50
Ni7 0.5633 0.5633 0.0672  6 Ni 2.44-2.50
Ni8 0.8130 0.8130 0.8130  6 Ni 2.42-2.44


(6)
Tl3CdIn: optimized geometry, GGA-PBE.

Results
Offset from the most stable computed form (eV/atom): 0.000
Space-group type: P-1, No. 2
E_form (kcal/mol of atoms): 0.79

abc: 3.4329 7.6840 11.6258
angles: 100.99 97.56 102.50
Last column: nearest neighbours and their distance in Å.
Fractional positions:
Tl1 0.1043 0.4927 0.2286  2 Cd 3.39-3.41, 2 In 3.43-3.50, 9 Tl 3.43-3.75
Tl2 0.3454 0.2604 0.9598  3 Cd 3.12-3.28, 2 Tl 3.43
Tl3 0.3676 0.7003 0.5414  1 Cd 3.20, 4 In 3.36-3.50, 4 Tl 3.40-3.43
Tl4 0.6324 0.2997 0.4586  1 Cd 3.20, 4 In 3.36-3.50, 4 Tl 3.40-3.43
Tl5 0.6546 0.7396 0.0402  3 Cd 3.12-3.28, 2 Tl 3.43
Tl6 0.8957 0.5073 0.7714  2 Cd 3.39-3.41, 2 In 3.43-3.50, 9 Tl 3.43-3.75
Cd1 0.3960 0.0917 0.1837  6 Tl 3.12-3.41, 2 In 3.19, 2 Cd 3.43
Cd2 0.6040 0.9083 0.8163  6 Tl 3.12-3.41, 2 In 3.19, 2 Cd 3.43
In1 0.1261 0.1078 0.6493  2 Cd 3.19, 7 Tl 3.36-3.50, 3 In 3.43-3.46
In2 0.8739 0.8922 0.3507  2 Cd 3.19, 7 Tl 3.36-3.50, 3 In 3.43-3.46


Number 1: final energy -35.45 eV/cell. Number 2: final energy -95.54 eV/cell. Number 3: final energy -29.46 eV/cell. Number 4: final energy -13.90 eV/cell. Number 5: final energy -90.32 eV/cell. Number 6: final energy -21.16 eV/cell.